Density functional theory data (PBE) for crystalline Cr2PtBr at its relaxed geometry.

Values from the calculation:
M_tot (μB/cell): 5.15
E_tot (eV per atom): -6.164
Energy relative to the lowest polymorph listed for this composition (kJ/mol of formula units): 165
Raw formation energy (eV/atom): 0.576

a b c (Å): 2.864 2.864 24.641
angles (deg): 90.00 90.00 120.00
Fractional positions:
Cr: 0.000 0.000 0.248
Cr: 0.000 0.000 0.752
Cr: 0.333 0.667 0.419
Cr: 0.333 0.667 0.914
Cr: 0.667 0.333 0.086
Cr: 0.667 0.333 0.581
Pt: 0.000 0.000 0.000
Pt: 0.333 0.667 0.667
Pt: 0.667 0.333 0.333
Br: 0.000 0.000 0.500
Br: 0.333 0.667 0.167
Br: 0.667 0.333 0.833